Entry from Alexandria via LeMat-Bulk: Ce2PrPd after structural relaxation (PBE-GGA).

The value obtained for the density of states at the Fermi level is 2.670 states/eV/atom. The calculation puts the total energy at -0.2095 Ha/atom. The calculation puts the formation energy from the elements at -5.550 kcal/mol of atoms. The energy above the most stable polymorph in this dataset comes out at 0.00 eV/f.u. The crystal system is tetragonal.

The structure belongs to space group P4/mmm (No. 123); the cell edges are 3.7026, 3.7026 and 8.1050 Å and the angles 90.00°, 90.00° and 90.00°. Symmetry generates all atoms from Ce at (0.0000, 0.0000, 0.1939), Pr at (0.5000, 0.5000, 0.5000) and Pd at (0.5000, 0.5000, 0.0000).